Density functional theory data (GGA+U) for a relaxed structure of CdCoAsO.

abc: 3.6290 6.8513 5.9023
angles: 90.00 90.00 90.00
With the nearest neighbours (Å) after each atom.
Positions (direct):
O  0.5000  0.1143  0.8631  2 Co 1.92-1.94
Co  0.5000  0.8761  0.0343  2 O 1.92-1.94
Cd  0.0000  0.7053  0.4483  2 O 2.25
As  0.0000  0.3239  0.4082  2 Co 2.39, 1 Cd 2.62
Co  0.5000  0.1239  0.5343  2 O 1.92-1.94
Cd  0.0000  0.2947  0.9483  2 O 2.25
O  0.5000  0.8857  0.3631  2 Co 1.92-1.94
As  0.0000  0.6761  0.9082  2 Co 2.39, 1 Cd 2.62

Summary:
spin magnetization = 2.03 μB/f.u.
uncorrected energy = -4.23 eV per atom
energy relative to the lowest polymorph listed for this composition = 0.0261 eV per atom
space-group type = Pmc2_1